Computed, not measured: an optimized crystal structure of ScHgMo2 at the GGA-PBE level of DFT.

Lattice parameters (Å, degrees): 4.9820 4.9820 5.3272 85.79 85.79 33.47
Sites, in units of the cell vectors:
Hg 0.2523 0.2523 0.2570
Mo 0.7495 0.7495 0.7669
Sc 0.5088 0.5088 0.4980
Mo 0.9894 0.9894 0.9781

**DFT total energy**: -6.76 eV/atom
**ΔE_f**: 309 meV per atom
**Calculated density**: 9.99 Mg/m³
**D(E_F)**: 3.3 states/eV per cell

Computed, not measured: an optimized crystal structure of BaLi2AlGa at the GGA-PBE level of DFT.

Lattice parameters (Å, degrees): 5.1384 5.1384 4.9828 90.00 90.00 90.00
Sites, in units of the cell vectors:
Li 0.0000 0.5000 0.0000
Ga 0.0000 0.0000 0.0000
Li 0.5000 0.0000 0.0000
Ba 0.5000 0.5000 0.5000
Al 0.0000 0.0000 0.5000

**DFT total energy**: -2.59 eV/atom
**ΔE_f**: -82 meV per atom
**Calculated density**: 3.13 Mg/m³
**D(E_F)**: 2.8 states/eV per cell
**ΔE to the lowest computed polymorph**: 0.0 meV/atom

Computed, not measured: an optimized crystal structure of FeBr3 at the GGA-PBE level of DFT.

Lattice parameters (Å, degrees): 8.0959 6.8950 11.0637 90.00 90.00 90.00
Sites, in units of the cell vectors:
Br 0.6176 0.0035 0.2500
Br 0.2663 0.2873 0.4055
Br 0.1176 0.4965 0.7500
Fe 0.6654 0.9699 0.7500
Fe 0.1654 0.5301 0.2500
Br 0.7337 0.7127 0.9055
Fe 0.3346 0.0301 0.2500
Br 0.2337 0.7873 0.0945
Br 0.7663 0.2127 0.9055
Br 0.2663 0.2873 0.0945
Fe 0.8346 0.4699 0.7500
Br 0.8824 0.5035 0.2500
Br 0.7663 0.2127 0.5945
Br 0.3824 0.9965 0.7500
Br 0.2337 0.7873 0.4055
Br 0.7337 0.7127 0.5945

**DFT total energy**: -3.80 eV/atom
**Formation energy from raw total energies**: -0.4275 eV/atom
**Calculated density**: 3.18 Mg/m³
**D(E_F)**: 3.8 states/eV per cell

Computed, not measured: an optimized crystal structure of Ac2SnF8 at the GGA-PBE level of DFT.

Lattice parameters (Å, degrees): 4.1585 5.9668 7.9478 113.32 105.17 90.00
Sites, in units of the cell vectors:
F 0.3268 0.6088 0.6537
F 0.2159 0.1151 0.4318
F 0.9748 0.7341 0.9496
F 0.5958 0.7550 0.1915
Ac 0.8307 0.3337 0.6613
F 0.6732 0.3912 0.3463
Ac 0.1693 0.6663 0.3387
F 0.0252 0.2659 0.0504
Sn 0.5000 0.0000 0.0000
F 0.7841 0.8849 0.5682
F 0.4042 0.2450 0.8085

**DFT total energy**: -6.13 eV/atom
**Formation energy from raw total energies**: -3.6533 eV/atom
**Calculated density**: 6.93 Mg/m³
**D(E_F)**: 0.0 states/eV per cell

Question: Which value of DFT total energy does entry 2 give?
Answer: -2.59 eV/atom

Question: Which of these has the highest DFT total energy?
Answer: BaLi2AlGa

Please write out number 2 again, unchanged.
Computed, not measured: an optimized crystal structure of BaLi2AlGa at the GGA-PBE level of DFT.

Lattice parameters (Å, degrees): 5.1384 5.1384 4.9828 90.00 90.00 90.00
Sites, in units of the cell vectors:
Li 0.0000 0.5000 0.0000
Ga 0.0000 0.0000 0.0000
Li 0.5000 0.0000 0.0000
Ba 0.5000 0.5000 0.5000
Al 0.0000 0.0000 0.5000

**DFT total energy**: -2.59 eV/atom
**ΔE_f**: -82 meV per atom
**Calculated density**: 3.13 Mg/m³
**D(E_F)**: 2.8 states/eV per cell
**ΔE to the lowest computed polymorph**: 0.0 meV/atom

Question: Number 2 is which compound?
Answer: BaLi2AlGa